Computed, not measured: a relaxed Li8VO5F crystal at the GGA+U level of DFT.

Properties
* VASP energy: -0.1946 hartree per atom
* density of states at the Fermi level: 0.0 states/eV/cell
* calculated volume: 10.1 Å³ per atom

CIF file:
```
data_Li8VO5F
_chemical_formula_sum 'Li16 V2 O10 F2'
_cell_length_a 5.6495
_cell_length_b 5.6495
_cell_length_c 10.9240
_cell_angle_alpha 90.00
_cell_angle_beta 90.00
_cell_angle_gamma 120.00
_space_group_name_H-M_alt 'P 63'
_space_group_IT_number 173
loop_
_space_group_symop_operation_xyz
'x,y,z'
'x-y,x,z+1/2'
'-y,x-y,z'
'-x,-y,z+1/2'
'-x+y,-x,z'
'y,-x+y,z+1/2'
loop_
_atom_site_label
_atom_site_type_symbol
_atom_site_fract_x
_atom_site_fract_y
_atom_site_fract_z
Li1 Li 0.0163 0.6275 0.0000
Li2 Li 0.0266 0.3168 0.1507
Li3 Li 0.3333 0.6667 0.2945
Li4 Li 0.3333 0.6667 0.8078
V1 V 0.0000 0.0000 0.3669
O1 O 0.0000 0.0000 0.0541
O2 O 0.0015 0.6729 0.8263
O3 O 0.3333 0.6667 0.0897
F1 F 0.3333 0.6667 0.5827
```



Computed, not measured: a relaxed Li7VO5F crystal at the GGA+U level of DFT.

Properties
* VASP energy: -0.2002 hartree per atom
* density of states at the Fermi level: 0.0 states/eV/cell
* calculated volume: 9.1 Å³ per atom

CIF file:
```
data_Li7VO5F
_chemical_formula_sum 'Li7 V1 O5 F1'
_cell_length_a 5.396
_cell_length_b 5.403
_cell_length_c 5.908
_cell_angle_alpha 117.03
_cell_angle_beta 90.22
_cell_angle_gamma 119.84
_space_group_name_H-M_alt 'P 1'
_space_group_IT_number 1
loop_
_space_group_symop_operation_xyz
'x,y,z'
loop_
_atom_site_label
_atom_site_type_symbol
_atom_site_fract_x
_atom_site_fract_y
_atom_site_fract_z
Li1 Li 0.000 0.000 0.000
Li2 Li 0.012 0.525 0.316
Li3 Li 0.199 0.106 0.615
Li4 Li 0.251 0.661 0.015
Li5 Li 0.570 0.332 0.033
Li6 Li 0.705 0.870 0.272
Li7 Li 0.746 0.401 0.638
V1 V 0.526 0.794 0.661
O1 O 0.245 0.864 0.824
O2 O 0.414 0.907 0.414
O3 O 0.571 0.608 0.885
O4 O 0.717 0.627 0.428
O5 O 0.869 0.236 0.908
F1 F 0.085 0.252 0.386
```



Computed, not measured: a relaxed LiV6O7F5 crystal at the GGA+U level of DFT.

Properties
* VASP energy: -0.2604 hartree per atom
* calculated volume: 11.3 Å³ per atom

CIF file:
```
data_LiV6O7F5
_chemical_formula_sum 'Li1 V6 O7 F5'
_cell_length_a 4.878
_cell_length_b 5.651
_cell_length_c 7.829
_cell_angle_alpha 85.24
_cell_angle_beta 88.61
_cell_angle_gamma 86.73
_space_group_name_H-M_alt 'P 1'
_space_group_IT_number 1
loop_
_space_group_symop_operation_xyz
'x,y,z'
loop_
_atom_site_label
_atom_site_type_symbol
_atom_site_fract_x
_atom_site_fract_y
_atom_site_fract_z
Li1 Li 0.000 0.000 0.000
V1 V 0.028 0.995 0.531
V2 V 0.064 0.356 0.196
V3 V 0.492 0.138 0.835
V4 V 0.498 0.806 0.196
V5 V 0.500 0.475 0.526
V6 V 0.943 0.599 0.850
O1 O 0.176 0.020 0.282
O2 O 0.176 0.322 0.949
O3 O 0.324 0.165 0.613
O4 O 0.340 0.522 0.298
O5 O 0.668 0.438 0.747
O6 O 0.823 0.627 0.097
O7 O 0.837 0.940 0.768
F1 F 0.176 0.659 0.616
F2 F 0.320 0.821 0.953
F3 F 0.666 0.116 0.085
F4 F 0.694 0.799 0.435
F5 F 0.835 0.308 0.430
```



Computed, not measured: a relaxed LiV2OF5 crystal at the GGA+U level of DFT.

Properties
* VASP energy: -0.2269 hartree per atom
* density of states at the Fermi level: 0.0 states/eV/cell
* calculated volume: 11.2 Å³ per atom

CIF file:
```
data_LiV2OF5
_chemical_formula_sum 'Li3 V6 O3 F15'
_cell_length_a 8.7250
_cell_length_b 8.7250
_cell_length_c 4.5786
_cell_angle_alpha 90.00
_cell_angle_beta 90.00
_cell_angle_gamma 120.00
_space_group_name_H-M_alt 'P 3'
_space_group_IT_number 143
loop_
_space_group_symop_operation_xyz
'x,y,z'
'-y,x-y,z'
'-x+y,-x,z'
loop_
_atom_site_label
_atom_site_type_symbol
_atom_site_fract_x
_atom_site_fract_y
_atom_site_fract_z
Li1 Li 0.0000 0.0000 0.0000
Li2 Li 0.3333 0.6667 0.4829
Li3 Li 0.6667 0.3333 0.0158
V1 V 0.0199 0.3607 0.0364
V2 V 0.3398 0.3313 0.5069
O1 O 0.0927 0.5546 0.2836
F1 F 0.1061 0.8833 0.2594
F2 F 0.2183 0.7793 0.7580
F3 F 0.2360 0.1093 0.7819
F4 F 0.4425 0.2103 0.2574
F5 F 0.5476 0.4358 0.7841
```



Computed, not measured: a relaxed LiV4OF11 crystal at the GGA+U level of DFT.

Properties
* VASP energy: -0.2217 hartree per atom
* calculated volume: 14.8 Å³ per atom

CIF file:
```
data_LiV4OF11
_chemical_formula_sum 'Li1 V4 O1 F11'
_cell_length_a 5.646
_cell_length_b 5.792
_cell_length_c 9.040
_cell_angle_alpha 77.15
_cell_angle_beta 74.86
_cell_angle_gamma 62.74
_space_group_name_H-M_alt 'P 1'
_space_group_IT_number 1
loop_
_space_group_symop_operation_xyz
'x,y,z'
loop_
_atom_site_label
_atom_site_type_symbol
_atom_site_fract_x
_atom_site_fract_y
_atom_site_fract_z
Li1 Li 0.000 0.000 0.000
V1 V 0.469 0.159 0.633
V2 V 0.733 0.753 0.409
V3 V 0.926 0.480 0.148
V4 V 0.952 0.568 0.783
O1 O 0.288 0.504 0.654
F1 F 0.092 0.503 0.317
F2 F 0.107 0.622 0.958
F3 F 0.122 0.122 0.134
F4 F 0.136 0.161 0.802
F5 F 0.371 0.001 0.497
F6 F 0.632 0.516 0.326
F7 F 0.703 0.948 0.787
F8 F 0.734 0.478 0.986
F9 F 0.748 0.882 0.180
F10 F 0.772 0.564 0.619
F11 F 0.815 0.010 0.475
```



Computed, not measured: a relaxed Li3VO3F crystal at the GGA+U level of DFT.

Properties
* VASP energy: -0.2204 hartree per atom
* calculated volume: 9.0 Å³ per atom

CIF file:
```
data_Li3VO3F
_chemical_formula_sum 'Li12 V4 O12 F4'
_cell_length_a 7.192
_cell_length_b 7.215
_cell_length_c 7.223
_cell_angle_alpha 109.98
_cell_angle_beta 108.85
_cell_angle_gamma 109.43
_space_group_name_H-M_alt 'P 1'
_space_group_IT_number 1
loop_
_space_group_symop_operation_xyz
'x,y,z'
loop_
_atom_site_label
_atom_site_type_symbol
_atom_site_fract_x
_atom_site_fract_y
_atom_site_fract_z
Li1 Li 0.000 0.000 0.000
Li2 Li 0.001 0.238 0.734
Li3 Li 0.018 0.758 0.245
Li4 Li 0.022 0.482 0.504
Li5 Li 0.246 0.241 0.490
Li6 Li 0.249 0.485 0.252
Li7 Li 0.269 0.745 0.991
Li8 Li 0.502 0.722 0.725
Li9 Li 0.508 0.981 0.487
Li10 Li 0.759 0.744 0.492
Li11 Li 0.770 0.510 0.743
Li12 Li 0.783 0.999 0.266
V1 V 0.225 0.982 0.734
V2 V 0.486 0.242 0.254
V3 V 0.486 0.497 0.994
V4 V 0.750 0.217 0.995
O1 O 0.023 0.990 0.506
O2 O 0.033 0.760 0.746
O3 O 0.261 0.241 0.996
O4 O 0.274 0.489 0.757
O5 O 0.280 0.005 0.240
O6 O 0.494 0.236 0.770
O7 O 0.501 0.006 0.995
O8 O 0.515 0.721 0.226
O9 O 0.517 0.483 0.479
O10 O 0.728 0.460 0.216
O11 O 0.747 0.016 0.761
O12 O 0.984 0.242 0.233
F1 F 0.255 0.748 0.492
F2 F 0.750 0.246 0.497
F3 F 0.752 0.729 0.987
F4 F 0.996 0.491 0.998
```



Computed, not measured: a relaxed Li3V2O3F3 crystal at the GGA+U level of DFT.

Properties
* VASP energy: -0.2281 hartree per atom
* calculated volume: 11.1 Å³ per atom

CIF file:
```
data_Li3V2O3F3
_chemical_formula_sum 'Li3 V2 O3 F3'
_cell_length_a 3.176
_cell_length_b 3.246
_cell_length_c 13.507
_cell_angle_alpha 83.65
_cell_angle_beta 83.44
_cell_angle_gamma 61.86
_space_group_name_H-M_alt 'P 1'
_space_group_IT_number 1
loop_
_space_group_symop_operation_xyz
'x,y,z'
loop_
_atom_site_label
_atom_site_type_symbol
_atom_site_fract_x
_atom_site_fract_y
_atom_site_fract_z
Li1 Li 0.000 0.000 0.000
Li2 Li 0.123 0.107 0.640
Li3 Li 0.395 0.394 0.820
V1 V 0.268 0.254 0.212
V2 V 0.526 0.517 0.440
O1 O 0.180 0.152 0.468
O2 O 0.573 0.551 0.296
O3 O 0.951 0.949 0.150
F1 F 0.074 0.062 0.783
F2 F 0.346 0.355 0.962
F3 F 0.467 0.463 0.608
```



Computed, not measured: a relaxed LiVO2F crystal at the GGA+U level of DFT.

Properties
* VASP energy: -0.2312 hartree per atom
* density of states at the Fermi level: 0.4 states/eV/cell
* calculated volume: 11.4 Å³ per atom

CIF file:
```
data_LiVO2F
_chemical_formula_sum 'Li1 V1 O2 F1'
_cell_length_a 3.753
_cell_length_b 3.753
_cell_length_c 4.034
_cell_angle_alpha 90.00
_cell_angle_beta 90.00
_cell_angle_gamma 90.00
_space_group_name_H-M_alt 'P 4/m m m'
_space_group_IT_number 123
_space_group_name_Hall '-P 4 2'
loop_
_atom_site_label
_atom_site_type_symbol
_atom_site_fract_x
_atom_site_fract_y
_atom_site_fract_z
Li1 Li 0.000 0.000 0.000
V1 V 0.500 0.500 0.500
O1 O 0.000 0.500 0.500
F1 F 0.500 0.500 0.000
```



Computed, not measured: a relaxed Li3V4O3F9 crystal at the GGA+U level of DFT.

Properties
* VASP energy: -0.2263 hartree per atom
* calculated volume: 11.4 Å³ per atom

CIF file:
```
data_Li3V4O3F9
_chemical_formula_sum 'Li3 V4 O3 F9'
_cell_length_a 5.124
_cell_length_b 5.505
_cell_length_c 7.705
_cell_angle_alpha 94.95
_cell_angle_beta 91.23
_cell_angle_gamma 92.25
_space_group_name_H-M_alt 'P 1'
_space_group_IT_number 1
loop_
_space_group_symop_operation_xyz
'x,y,z'
loop_
_atom_site_label
_atom_site_type_symbol
_atom_site_fract_x
_atom_site_fract_y
_atom_site_fract_z
Li1 Li 0.000 0.000 0.000
Li2 Li 0.016 0.118 0.385
Li3 Li 0.482 0.675 0.408
V1 V 0.004 0.564 0.186
V2 V 0.018 0.585 0.688
V3 V 0.496 0.064 0.694
V4 V 0.509 0.073 0.190
O1 O 0.208 0.869 0.245
O2 O 0.310 0.771 0.631
O3 O 0.831 0.248 0.153
F1 F 0.118 0.575 0.936
F2 F 0.194 0.260 0.609
F3 F 0.326 0.381 0.276
F4 F 0.355 0.091 0.942
F5 F 0.651 0.038 0.445
F6 F 0.697 0.763 0.120
F7 F 0.699 0.380 0.740
F8 F 0.821 0.900 0.773
F9 F 0.859 0.575 0.443
```



Computed, not measured: a relaxed Li4VO3F2 crystal at the GGA+U level of DFT.

Properties
* VASP energy: -0.2103 hartree per atom
* calculated volume: 10.4 Å³ per atom

CIF file:
```
data_Li4VO3F2
_chemical_formula_sum 'Li8 V2 O6 F4'
_cell_length_a 5.487
_cell_length_b 5.494
_cell_length_c 7.688
_cell_angle_alpha 69.11
_cell_angle_beta 74.12
_cell_angle_gamma 88.76
_space_group_name_H-M_alt 'P 1'
_space_group_IT_number 1
loop_
_space_group_symop_operation_xyz
'x,y,z'
loop_
_atom_site_label
_atom_site_type_symbol
_atom_site_fract_x
_atom_site_fract_y
_atom_site_fract_z
Li1 Li 0.000 0.000 0.000
Li2 Li 0.064 0.043 0.598
Li3 Li 0.187 0.250 0.205
Li4 Li 0.271 0.596 0.822
Li5 Li 0.401 0.805 0.390
Li6 Li 0.472 0.853 0.001
Li7 Li 0.787 0.457 0.803
Li8 Li 0.919 0.652 0.392
V1 V 0.549 0.179 0.601
V2 V 0.695 0.420 0.179
O1 O 0.282 0.965 0.793
O2 O 0.429 0.183 0.380
O3 O 0.500 0.482 0.017
O4 O 0.707 0.734 0.189
O5 O 0.875 0.286 0.396
O6 O 0.966 0.360 0.017
F1 F 0.062 0.687 0.598
F2 F 0.199 0.894 0.201
F3 F 0.562 0.558 0.605
F4 F 0.765 0.102 0.799
```



Computed, not measured: a relaxed Li3VO3F crystal at the GGA+U level of DFT.

Properties
* VASP energy: -0.2217 hartree per atom
* density of states at the Fermi level: 0.0 states/eV/cell
* calculated volume: 9.0 Å³ per atom

CIF file:
```
data_Li3VO3F
_chemical_formula_sum 'Li6 V2 O6 F2'
_cell_length_a 5.136
_cell_length_b 5.164
_cell_length_c 5.845
_cell_angle_alpha 91.23
_cell_angle_beta 92.00
_cell_angle_gamma 110.76
_space_group_name_H-M_alt 'P -1'
_space_group_IT_number 2
loop_
_space_group_symop_operation_xyz
'x,y,z'
'-x,-y,-z'
loop_
_atom_site_label
_atom_site_type_symbol
_atom_site_fract_x
_atom_site_fract_y
_atom_site_fract_z
Li1 Li 0.228 0.488 0.132
Li2 Li 0.243 0.006 0.875
Li3 Li 0.260 0.493 0.627
V1 V 0.232 0.976 0.378
O1 O 0.005 0.223 0.388
O2 O 0.030 0.767 0.139
O3 O 0.499 0.772 0.398
F1 F 0.488 0.250 0.128
```



Computed, not measured: a relaxed LiV4OF11 crystal at the GGA+U level of DFT.

Properties
* VASP energy: -0.2258 hartree per atom
* calculated volume: 12.8 Å³ per atom

CIF file:
```
data_LiV4OF11
_chemical_formula_sum 'Li1 V4 O1 F11'
_cell_length_a 5.521
_cell_length_b 5.262
_cell_length_c 7.488
_cell_angle_alpha 90.00
_cell_angle_beta 94.44
_cell_angle_gamma 90.00
_space_group_name_H-M_alt 'P 1 2 1'
_space_group_IT_number 3
loop_
_space_group_symop_operation_xyz
'x,y,z'
'-x,y,-z'
loop_
_atom_site_label
_atom_site_type_symbol
_atom_site_fract_x
_atom_site_fract_y
_atom_site_fract_z
Li1 Li 0.000 0.000 0.000
V1 V 0.003 0.524 0.240
V2 V 0.496 0.015 0.747
O1 O 0.000 0.629 0.000
F1 F 0.000 0.422 0.500
F2 F 0.187 0.841 0.700
F3 F 0.190 0.193 0.182
F4 F 0.301 0.315 0.806
F5 F 0.311 0.714 0.310
F6 F 0.500 0.139 0.500
F7 F 0.500 0.902 0.000
```



> Look up the VASP energy of the first one.

-0.1946 hartree per atom